The following is a PBE calculation of KZnB4 after structural relaxation, from OQMD via LeMat-Bulk.

Summary:
DFT total energy = -4.292 eV per atom
V = 140.25 Å³/cell
relative energy among the computed polymorphs = 0.169 eV per atom

Unit cell a=2.608 b=5.766 c=9.328 alpha=90.00 beta=90.00 gamma=90.00
Space group Immm (No. 71)
Symmetry-distinct sites (fractional):
K  0.000  0.000  0.000 [2 per cell]
Zn  0.000  0.000  0.500 [2 per cell]
B  0.000  0.352  0.238 [8 per cell]